{"formula": "KMoO3", "functional": "PBE+U", "state": "optimized geometry", "lattice": [[7.017, 0.000, 0.000], [0.000, 5.244, 0.000], [-0.946, 0.000, 7.773]], "species": ["K", "K", "K", "K", "Mo", "Mo", "Mo", "Mo", "O", "O", "O", "O", "O", "O", "O", "O", "O", "O", "O", "O"], "frac_coords": [[0.106, 0.190, 0.181], [0.106, 0.310, 0.681], [0.894, 0.690, 0.319], [0.894, 0.810, 0.819], [0.433, 0.721, 0.053], [0.433, 0.779, 0.553], [0.567, 0.221, 0.447], [0.567, 0.279, 0.947], [0.183, 0.668, 0.077], [0.183, 0.832, 0.577], [0.336, 0.080, 0.944], [0.336, 0.420, 0.444], [0.440, 0.581, 0.814], [0.440, 0.919, 0.314], [0.560, 0.081, 0.686], [0.560, 0.419, 0.186], [0.664, 0.580, 0.556], [0.664, 0.920, 0.056], [0.817, 0.168, 0.423], [0.817, 0.332, 0.923]], "dos_at_fermi_per_ev_atom": 0.0000, "dft_energy_ev_per_fu": -31.6}